First-principles (PBE) data for a geometry-optimized AcCoP2Ru structure, as listed in Alexandria.

Cell: 3.887 3.887 11.872 Å, 90.00 90.00 90.00°
Space group I-4m2 (No. 119)
Symmetry-distinct sites (fractional):
Ac: 0.000 0.000 0.000
Co: 0.000 0.500 0.250
P: 0.000 0.000 0.352
Ru: 0.000 0.500 0.750

Energy of formation, eV per atom: -0.96

---

First-principles (PBE) data for a geometry-optimized AcCoP2S8 structure, as listed in Alexandria.

Cell: 5.7845 5.7845 8.2996 Å, 90.00 90.00 120.00°
Space group P-3 (No. 147)
Symmetry-distinct sites (fractional):
Ac: 0.0000 0.0000 0.0000
Co: 0.0000 0.0000 0.5000
P: 0.3333 0.6667 0.7308
S: 0.0064 0.6964 0.3273
S: 0.3333 0.6667 0.9768

Formation energy (no corrections), eV per atom: -0.6281

---

First-principles (PBE) data for a geometry-optimized Ac8CoTe4P3 structure, as listed in Alexandria.

Cell: 9.0280 9.0280 23.1548 Å, 90.00 90.00 120.00°
Space group R-3m (No. 166, hexagonal axes)
Symmetry-distinct sites (fractional):
Ac: 0.0000 0.0000 0.2394
Ac: 0.0101 0.5051 0.2375
Co: 0.0000 0.0000 0.5000
Te: 0.0000 0.0000 0.0000
Te: 0.0000 0.5000 0.0000
P: 0.0000 0.5000 0.5000

Formation energy (no corrections), eV per atom: -1.3122

---

First-principles (PBE) data for a geometry-optimized AcTiCoP2 structure, as listed in Alexandria.

Cell: 3.890 3.890 12.329 Å, 90.00 90.00 90.00°
Space group I-4m2 (No. 119)
Symmetry-distinct sites (fractional):
Ac: 0.000 0.000 0.000
Ti: 0.000 0.500 0.750
Co: 0.000 0.500 0.250
P: 0.000 0.000 0.362

Energy of formation, eV per atom: -1.02

---

First-principles (PBE) data for a geometry-optimized AcVCoP2 structure, as listed in Alexandria.

Cell: 3.904 3.904 11.842 Å, 90.00 90.00 90.00°
Space group I-4m2 (No. 119)
Symmetry-distinct sites (fractional):
Ac: 0.000 0.000 0.000
V: 0.000 0.500 0.750
Co: 0.000 0.500 0.250
P: 0.000 0.000 0.354

Energy of formation, eV per atom: -0.92

---

First-principles (PBE) data for a geometry-optimized AcPaCo2 structure, as listed in Alexandria.

Cell: 4.2507 4.2507 17.2214 Å, 90.00 90.00 120.00°
Space group R-3m (No. 166, hexagonal axes)
Symmetry-distinct sites (fractional):
Ac: 0.0000 0.0000 0.0000
Pa: 0.0000 0.0000 0.5000
Co: 0.0000 0.0000 0.2028

Energy of formation, eV per atom: -0.27
Polymorph energy (0 for the lowest one), meV per atom: 0

---

First-principles (PBE) data for a geometry-optimized Ac2PaCo2 structure, as listed in Alexandria.

Cell: 11.111 6.651 7.016 Å, 90.00 99.09 90.00°
Space group C2/c (No. 15)
Symmetry-distinct sites (fractional):
Ac: 0.154 0.106 0.152
Pa: 0.000 0.430 0.750
Co: 0.132 0.354 0.522

Energy of formation, eV per atom: -0.17

---

First-principles (PBE) data for a geometry-optimized AcPaCo2 structure, as listed in Alexandria.

Cell: 3.412 3.412 7.224 Å, 90.00 90.00 90.00°
Space group P4/mmm (No. 123)
Symmetry-distinct sites (fractional):
Ac: 0.000 0.000 0.000
Pa: 0.000 0.000 0.500
Co: 0.500 0.500 0.318

Energy of formation, eV per atom: -0.11
Polymorph energy (0 for the lowest one), meV per atom: 155

---

First-principles (PBE) data for a geometry-optimized AcPa2CoS8 structure, as listed in Alexandria.

Cell: 4.852 8.648 6.404 Å, 90.00 100.11 90.00°
Space group P2/m (No. 10)
Symmetry-distinct sites (fractional):
Ac: 0.000 0.000 0.000
Pa: 0.500 0.268 0.500
Co: 0.000 0.500 0.000
S: 0.044 0.298 0.755
S: 0.417 0.500 0.223
S: 0.450 0.000 0.726

Formation energy (no corrections), eV per atom: -1.2529

---

First-principles (PBE) data for a geometry-optimized Ac12Co6Pb structure, as listed in Alexandria.

Cell: 10.656 10.656 10.656 Å, 90.00 90.00 90.00°
Space group Im-3 (No. 204)
Symmetry-distinct sites (fractional):
Ac: 0.000 0.188 0.313
Co: 0.000 0.392 0.500
Pb: 0.000 0.000 0.000

Energy of formation, eV per atom: -0.10

---

First-principles (PBE) data for a geometry-optimized Ac5CoPb2 structure, as listed in Alexandria.

Cell: 6.427 11.196 16.719 Å, 90.00 90.00 90.00°
Space group Fmmm (No. 69)
Symmetry-distinct sites (fractional):
Ac: 0.000 0.000 0.000
Ac: 0.000 0.163 0.374
Co: 0.000 0.000 0.500
Pb: 0.000 0.000 0.200

Energy of formation, eV per atom: -0.14

---

First-principles (PBE) data for a geometry-optimized AcCoPb structure, as listed in Alexandria.

Cell: 6.628 6.628 7.797 Å, 90.00 90.00 90.00°
Space group P4_12_12 (No. 92)
Symmetry-distinct sites (fractional):
Ac: 0.193 0.193 0.000
Co: 0.031 0.969 0.750
Pb: 0.191 0.191 0.500

Energy of formation, eV per atom: 0.02